No. 1
Material: Na5B8C2
Method: DFT, GGA-PBE
State: relaxed

## Properties
- formation energy from the elements (eV per formula unit) = 2.6
- electronic total energy (eV per cell) = -303.477
- N(E_F) (states/eV/cell) = 7.25
- E above lowest polymorph (kJ per mole of atoms) = 0.2

a b c (Å): 23.4559 2.8190 10.1519
angles (deg): 90.00 106.18 90.00
Space group C2/m (No. 12)
Inequivalent atoms, fractional coordinates:
Na  0.0000  0.0000  0.0000 [2 per cell]
Na  0.0000  0.5000  0.5000 [2 per cell]
Na  0.0992  0.0000  0.6954 [4 per cell]
Na  0.0993  0.5000  0.1992 [4 per cell]
Na  0.1990  0.5000  0.8978 [4 per cell]
Na  0.1997  0.0000  0.3998 [4 per cell]
B  0.0169  0.0000  0.2859 [4 per cell]
B  0.0727  0.5000  0.8949 [4 per cell]
B  0.1085  0.5000  0.4686 [4 per cell]
B  0.1137  0.0000  0.9786 [4 per cell]
B  0.1755  0.5000  0.6014 [4 per cell]
B  0.1766  0.0000  0.1044 [4 per cell]
B  0.2162  0.0000  0.6823 [4 per cell]
B  0.2200  0.5000  0.1909 [4 per cell]
C  0.0139  0.5000  0.7759 [4 per cell]
C  0.0780  0.0000  0.4086 [4 per cell]

---

No. 2
Material: Na5B9C
Method: DFT, GGA-PBE
State: relaxed

## Properties
- formation energy from the elements (eV per formula unit) = 3.6
- electronic total energy (eV per cell) = -289.287
- N(E_F) (states/eV/cell) = 17.30
- E above lowest polymorph (kJ per mole of atoms) = 0.3

a b c (Å): 2.8014 27.1948 8.7401
angles (deg): 90.00 90.00 90.00
Space group Cmcm (No. 63)
Inequivalent atoms, fractional coordinates:
Na  0.0000  0.0000  0.0000 [4 per cell]
Na  0.0000  0.1997  0.0000 [8 per cell]
Na  0.0000  0.4009  0.0018 [8 per cell]
B  0.0000  0.0667  0.7500 [4 per cell]
B  0.0000  0.1250  0.2500 [4 per cell]
B  0.0000  0.1289  0.7500 [4 per cell]
B  0.0000  0.2684  0.2500 [4 per cell]
B  0.0000  0.2728  0.7500 [4 per cell]
B  0.0000  0.3302  0.2500 [4 per cell]
B  0.0000  0.3343  0.7500 [4 per cell]
B  0.0000  0.4623  0.7500 [4 per cell]
B  0.0000  0.4735  0.2500 [4 per cell]
C  0.0000  0.0678  0.2500 [4 per cell]

---

No. 3
Material: Na8B9C7
Method: DFT, GGA-PBE
State: relaxed

## Properties
- formation energy from the elements (eV per formula unit) = 1.2
- electronic total energy (eV per cell) = -134.049
- N(E_F) (states/eV/cell) = 3.10
- E above lowest polymorph (kJ per mole of atoms) = 1.8

a b c (Å): 5.6773 8.4544 4.9375
angles (deg): 90.00 90.00 90.00
Space group Pmm2 (No. 25)
Inequivalent atoms, fractional coordinates:
Na  0.0000  0.2474  0.0000 [2 per cell]
Na  0.2500  0.2499  0.5009 [4 per cell]
Na  0.5000  0.2499  0.0024 [2 per cell]
B  0.0000  0.0000  0.6678 [1 per cell]
B  0.0000  0.5000  0.3371 [1 per cell]
B  0.2389  0.5000  0.8427 [2 per cell]
B  0.2504  0.0000  0.1680 [2 per cell]
B  0.5000  0.0000  0.6679 [1 per cell]
B  0.5000  0.5000  0.3204 [1 per cell]
B  0.5000  0.5000  0.6635 [1 per cell]
C  0.0000  0.0000  0.3346 [1 per cell]
C  0.0000  0.5000  0.6679 [1 per cell]
C  0.2455  0.5000  0.1669 [2 per cell]
C  0.2502  0.0000  0.8345 [2 per cell]
C  0.5000  0.0000  0.3346 [1 per cell]

---

Number 1: M_tot 0.00 μB per cell. Number 2: M_tot 0.00 μB per cell. Number 3: M_tot 0.00 μB per cell.